{
  "formula": "Co2IrO6",
  "functional": "PBE with a Hubbard U",
  "state": "optimized geometry",
  "final_energy_ev_per_atom": -6.21,
  "dos_at_fermi_per_ev_cell": 6.24,
  "magmom_total_mub_per_cell": 6.7,
  "lattice": [[4.425, 0.000, 0.000], [0.000, 4.425, 0.000], [0.000, 0.000, 9.235]],
  "species": ["Co", "Co", "Co", "Co", "Ir", "Ir", "O", "O", "O", "O", "O", "O", "O", "O", "O", "O", "O", "O"],
  "frac_coords": [[0.000, 0.000, 0.166], [0.000, 0.000, 0.834], [0.500, 0.500, 0.334], [0.500, 0.500, 0.666], [0.000, 0.000, 0.500], [0.500, 0.500, 0.000], [0.198, 0.198, 0.000], [0.198, 0.198, 0.333], [0.198, 0.198, 0.667], [0.302, 0.698, 0.167], [0.302, 0.698, 0.500], [0.302, 0.698, 0.833], [0.698, 0.302, 0.167], [0.698, 0.302, 0.500], [0.698, 0.302, 0.833], [0.802, 0.802, 0.000], [0.802, 0.802, 0.333], [0.802, 0.802, 0.667]]
}